# CoMo2PbO8 | Alexandria | GGA+U | relaxed
# VASP energy: -6.63 eV/atom
# Size of the total moment: 3.000 μB/f.u.
data_CoMo2PbO8
_cell_length_a 5.828
_cell_length_b 5.828
_cell_length_c 6.707
_cell_angle_alpha 90.00
_cell_angle_beta 90.00
_cell_angle_gamma 120.00
_space_group_name_H-M_alt 'P 1'
_space_group_IT_number 1
loop_
_space_group_symop_operation_xyz
'x,y,z'
loop_
_atom_site_label
_atom_site_type_symbol
_atom_site_fract_x
_atom_site_fract_y
_atom_site_fract_z
Co1 Co 0.000 0.000 0.500
Mo1 Mo 0.667 0.333 0.232
Mo2 Mo 0.333 0.667 0.768
Pb1 Pb 0.000 0.000 0.000
O1 O 0.333 0.667 0.030
O2 O 0.323 0.162 0.310
O3 O 0.838 0.161 0.310
O4 O 0.667 0.333 0.970
O5 O 0.162 0.839 0.690
O6 O 0.677 0.838 0.690
O7 O 0.161 0.323 0.690
O8 O 0.839 0.677 0.310